Record 1
VASP calculation (PBE) on a geometry-optimized Li2HgPd4 structure.

E in eV per atom: -3.025
Offset from the most stable computed form in meV/atom: 795

a b c (Å): 5.012 5.012 7.326
angles (deg): 70.00 70.00 90.00
Fractional positions:
Li: 0.396 0.396 0.208
Li: 0.604 0.604 0.792
Pd: 0.795 0.795 0.410
Pd: 0.000 0.500 0.000
Pd: 0.500 0.000 0.000
Pd: 0.205 0.205 0.590
Hg: 0.000 0.000 0.000



Record 2
VASP calculation (PBE) on a geometry-optimized La2Tb2NdSm2 structure.

E in eV per atom: -4.737

a b c (Å): 5.160 6.326 8.182
angles (deg): 97.28 90.00 114.07
Fractional positions:
Tb: 0.571 0.142 0.716
Tb: 0.429 0.858 0.284
Nd: 0.000 0.000 0.000
La: 0.143 0.285 0.427
La: 0.857 0.715 0.573
Sm: 0.715 0.431 0.141
Sm: 0.285 0.569 0.859